[1]
# Cd2GaCoO5 (GGA+U, relaxed)
data_Cd2GaCoO5
_chemical_formula_sum 'Cd8 Ga4 Co4 O20'
_space_group_name_H-M_alt 'C m c 21'
_space_group_IT_number 36
_cell_length_a 3.136
_cell_length_b 12.266
_cell_length_c 11.106
_cell_angle_alpha 90.00
_cell_angle_beta 90.00
_cell_angle_gamma 90.00
loop_
_space_group_symop_operation_xyz
'x,y,z'
'-x,-y,z+1/2'
'-x,y,z'
'x,-y,z+1/2'
'x+1/2,y+1/2,z'
'-x+1/2,-y+1/2,z+1/2'
'-x+1/2,y+1/2,z'
'x+1/2,-y+1/2,z+1/2'
loop_
_atom_site_label
_atom_site_type_symbol
_atom_site_fract_x
_atom_site_fract_y
_atom_site_fract_z
Cd1 Cd 0.000 0.086 0.000
Cd2 Cd 0.000 0.159 0.633
Ga1 Ga 0.000 0.218 0.358
Co1 Co 0.000 0.474 0.773
O1 O 0.000 0.057 0.371
O2 O 0.000 0.263 0.984
O3 O 0.000 0.318 0.746
O4 O 0.000 0.371 0.307
O5 O 0.000 0.492 0.110
# total energy: -4.994 eV per atom
# total magnetization: 1.99 μB/f.u.
# DOS at the Fermi energy: 0.10 states/eV/cell

[2]
# CdGa4CoO8 (GGA+U, relaxed)
data_CdGa4CoO8
_chemical_formula_sum 'Cd3 Ga12 Co3 O24'
_space_group_name_H-M_alt 'R 3 m'
_space_group_IT_number 160
_space_group_name_Hall 'R 3 -2"'
_cell_length_a 6.0825
_cell_length_b 6.0825
_cell_length_c 14.9008
_cell_angle_alpha 90.00
_cell_angle_beta 90.00
_cell_angle_gamma 120.00
loop_
_atom_site_label
_atom_site_type_symbol
_atom_site_fract_x
_atom_site_fract_y
_atom_site_fract_z
Cd1 Cd 0.0000 0.0000 0.0000
Ga1 Ga 0.0000 0.0000 0.2425
Ga2 Ga 0.1705 0.3409 0.4550
Co1 Co 0.0000 0.0000 0.6241
O1 O 0.0000 0.0000 0.3772
O2 O 0.0000 0.0000 0.8576
O3 O 0.0434 0.5217 0.3822
O4 O 0.1745 0.3490 0.1989
# total energy: -5.668 eV per atom
# total magnetization: 3.03 μB/f.u.
# DOS at the Fermi energy: 19.67 states/eV/cell